# 1
Here is a geometry-optimized Co2TcIr structure from Alexandria. Energies are from PBE.

Cell: 2.6745 2.6745 7.1397 Å, 90.00 90.00 90.00°
Atoms (fractional coordinates):
Co  0.5000  0.5000  0.2339
Co  0.0000  0.0000  0.0125
Tc  0.5000  0.5000  0.7627
Ir  0.0000  0.0000  0.4909

Summary:
As for the crystal system: tetragonal. Its energy above the most stable polymorph in this dataset is 0.14 eV per formula unit. As for the space group: No. 99. The calculation puts the formation energy at 0.016 eV per atom.



# 2
Here is a geometry-optimized Cs6Au3F structure from Alexandria. Energies are from PBE.

Cell: 8.5946 11.3029 11.3029 Å, 102.45 90.00 90.00°
Atoms (fractional coordinates):
Au  0.9075  0.6088  0.3912
Cs  0.1930  0.3591  0.3166
Au  0.4760  0.9298  0.7253
Cs  0.6930  0.3166  0.3591
Cs  0.6974  0.2189  0.7811
Au  0.9760  0.7253  0.9298
Cs  0.6773  0.8895  0.4154
Cs  0.1773  0.4154  0.8895
Cs  0.6633  0.9573  0.0427
Cs  0.1633  0.0427  0.9573
Au  0.9760  0.0702  0.2747
Au  0.4075  0.3912  0.6088
Cs  0.1773  0.1105  0.5846
F  0.0248  0.1888  0.8112
Cs  0.1974  0.7811  0.2189
F  0.5248  0.8112  0.1888
Au  0.4760  0.2747  0.0702
Cs  0.6930  0.6409  0.6834
Cs  0.1930  0.6834  0.6409
Cs  0.6773  0.5846  0.1105

Summary:
As for the crystal system: orthorhombic. The raw formation energy is -0.7117 eV per atom. As for the space group: No. 36.



# 3
Here is a geometry-optimized LiWAu2 structure from Alexandria. Energies are from PBE.

Cell: 2.7395 2.7395 9.4381 Å, 90.00 90.00 109.03°
Atoms (fractional coordinates):
Li  0.0000  0.0000  0.4936
Au  0.5000  0.5000  0.2664
W  0.5000  0.5000  0.7458
Au  0.0000  0.0000  0.9942

Summary:
As for the crystal system: orthorhombic. Its energy above the most stable polymorph in this dataset is 0.75 eV per formula unit. As for the space group: No. 35. The calculation puts the formation energy at 0.209 eV per atom.



| no. | calculated total energy (eV/atom) |
| --- | --- |
| 1 | -8.344 |
| 2 | -2.394 |
| 3 | -5.146 |